No. 1
Density functional theory data (GGA-PBE) for a relaxed structure of AgHgTe.

volume	156.9	Å³ per cell
symmetry	C2
theoretical density	9.2	g cm⁻³
E_tot	-2.103	eV per atom

Unit cell a=4.9148 b=4.9143 c=7.0178 alpha=102.63 beta=102.64 gamma=74.30
Fractional coordinates of all 6 atoms:
Ag1 0.4810 0.9922 0.8789
Ag2 0.9821 0.4917 0.8789
Hg1 0.9062 0.9190 0.5357
Hg2 0.5539 0.5676 0.2218
Te1 0.0355 0.0493 0.1251
Te2 0.4246 0.4375 0.6325


No. 2
Density functional theory data (GGA-PBE) for a relaxed structure of Ag2HgTe.

volume	91.7	Å³ per cell
symmetry	F-43m
theoretical density	9.9	g cm⁻³
E_tot	-2.075	eV per atom

Unit cell a=5.0615 b=5.0615 c=5.0615 alpha=60.00 beta=60.00 gamma=60.00
Fractional coordinates of all 4 atoms:
Te1 0.7500 0.7500 0.7500
Hg1 0.5000 0.5000 0.5000
Ag1 0.0000 0.0000 0.0000
Ag2 0.2500 0.2500 0.2500


No. 3
Density functional theory data (GGA-PBE) for a relaxed structure of Ag3HgTe2.

volume	316.5	Å³ per cell
symmetry	C2/m
theoretical density	8.2	g cm⁻³
E_tot	-2.536	eV per atom

Unit cell a=4.8821 b=9.7451 c=7.8033 alpha=117.30 beta=90.00 gamma=104.51
Fractional coordinates of all 12 atoms:
Ag1 0.6267 0.2533 0.0774
Ag2 0.0768 0.1537 0.8445
Ag3 0.3690 0.7381 0.2977
Ag4 0.6310 0.2619 0.7023
Ag5 0.9232 0.8463 0.1555
Ag6 0.3733 0.7467 0.9226
Hg1 0.1501 0.3001 0.2858
Hg2 0.8499 0.6999 0.7142
Te1 0.4791 0.9583 0.7203
Te2 0.5209 0.0417 0.2797
Te3 0.2058 0.4117 0.7084
Te4 0.7942 0.5883 0.2916


No. 4
Density functional theory data (GGA-PBE) for a relaxed structure of Ag2HgTe.

volume	91.6	Å³ per cell
symmetry	Fm-3m
theoretical density	9.9	g cm⁻³
E_tot	-2.193	eV per atom

Unit cell a=5.0594 b=5.0594 c=5.0594 alpha=60.00 beta=60.00 gamma=60.00
Fractional coordinates of all 4 atoms:
Te1 0.0000 0.0000 0.0000
Hg1 0.5000 0.5000 0.5000
Ag1 0.2500 0.2500 0.2500
Ag2 0.7500 0.7500 0.7500


No. 5
Density functional theory data (GGA-PBE) for a relaxed structure of AgHg2Te.

volume	107.5	Å³ per cell
symmetry	Imm2
theoretical density	9.8	g cm⁻³
E_tot	-1.545	eV per atom

Unit cell a=5.4049 b=5.4049 c=5.4049 alpha=130.20 beta=109.19 gamma=91.48
Fractional coordinates of all 4 atoms:
Te1 0.4754 0.4754 0.0000
Hg1 0.0128 0.0128 0.0000
Hg2 0.7635 0.2635 0.5000
Ag1 0.2482 0.7482 0.5000


No. 6
Density functional theory data (GGA-PBE) for a relaxed structure of AgHg2Te.

volume	103.6	Å³ per cell
symmetry	Cmm2
theoretical density	10.2	g cm⁻³
E_tot	-1.549	eV per atom

Unit cell a=3.2613 b=3.2613 c=9.8757 alpha=90.00 beta=90.00 gamma=99.60
Fractional coordinates of all 4 atoms:
Te1 0.0000 0.0000 0.5415
Hg1 0.0000 0.0000 0.9694
Hg2 0.5000 0.5000 0.2299
Ag1 0.5000 0.5000 0.7591


No. 7
Density functional theory data (GGA-PBE) for a relaxed structure of AgHg2Te2.

volume	299.9	Å³ per cell
symmetry	P4/mbm
theoretical density	8.5	g cm⁻³
E_tot	-1.890	eV per atom

Unit cell a=8.1819 b=8.1819 c=4.4793 alpha=90.00 beta=90.00 gamma=90.00
Fractional coordinates of all 10 atoms:
Te1 0.2789 0.7789 0.0000
Te2 0.7789 0.7211 0.0000
Te3 0.7211 0.2211 0.0000
Te4 0.2211 0.2789 0.0000
Hg1 0.1200 0.6200 0.5000
Hg2 0.6200 0.8800 0.5000
Hg3 0.8800 0.3800 0.5000
Hg4 0.3800 0.1200 0.5000
Ag1 0.0000 0.0000 0.0000
Ag2 0.5000 0.5000 0.0000


No. 8
Density functional theory data (GGA-PBE) for a relaxed structure of AgHgTe4.

volume	187.8	Å³ per cell
symmetry	F-43m
theoretical density	7.2	g cm⁻³
E_tot	-2.219	eV per atom

Unit cell a=6.4279 b=6.4279 c=6.4279 alpha=60.00 beta=60.00 gamma=60.00
Fractional coordinates of all 6 atoms:
Ag1 0.7500 0.7500 0.7500
Hg1 0.0000 0.0000 0.0000
Te1 0.8757 0.3748 0.3748
Te2 0.3748 0.3748 0.8757
Te3 0.3748 0.8757 0.3748
Te4 0.3748 0.3748 0.3748